# K2Mn3Se6 | the Alexandria database | PBE | optimized geometry
# V	284	Å³/f.u.
# formation energy (no corrections)	-717	kJ/mol of formula units
data_K2Mn3Se6
_space_group_name_H-M_alt 'C 1 2/m 1'
_space_group_IT_number 12
_cell_length_a 6.4544
_cell_length_b 11.1858
_cell_length_c 8.1526
_cell_angle_alpha 90.00
_cell_angle_beta 105.34
_cell_angle_gamma 90.00
loop_
_space_group_symop_operation_xyz
'x,y,z'
'-x,-y,-z'
'-x,y,-z'
'x,-y,z'
'x+1/2,y+1/2,z'
'-x+1/2,-y+1/2,-z'
'-x+1/2,y+1/2,-z'
'x+1/2,-y+1/2,z'
loop_
_atom_site_label
_atom_site_type_symbol
_atom_site_fract_x
_atom_site_fract_y
_atom_site_fract_z
_atom_site_occupancy
K1 K 0.0000 0.1663 0.0000 1
Mn1 Mn 0.0000 0.0000 0.5000 1
Mn2 Mn 0.0000 0.3318 0.5000 1
Se1 Se 0.2249 0.5000 0.6766 1
Se2 Se 0.2267 0.1665 0.6782 1